(1)
{
  "formula": "InFe2NiC",
  "functional": "PBE",
  "state": "relaxed",
  "n_ef_per_ev_atom": 0.822,
  "total_energy_ev_per_atom": -6.89,
  "magnetic_moment_mub_per_fu": 3.0,
  "cell": [[3.846, 0.000, 0.000], [0.000, 3.846, 0.000], [0.000, 0.000, 3.954]],
  "species": ["Ni", "C", "Fe", "Fe", "In"],
  "fractional_positions": [[0.000, 0.000, 0.500], [0.000, 0.000, 0.000], [0.000, 0.500, 0.000], [0.500, 0.000, 0.000], [0.500, 0.500, 0.500]]
}

---

(2)
{
  "formula": "KH3Au",
  "functional": "PBE",
  "state": "relaxed",
  "n_ef_per_ev_atom": 0.102,
  "e_above_lowest_polymorph_mev_per_atom": 166,
  "magnetic_moment_mub_per_fu": 0.0,
  "cell": [[3.635, 0.000, 0.469], [0.000, 6.157, 0.000], [-1.030, 0.000, 6.740]],
  "species": ["H", "H", "H", "H", "H", "H", "K", "K", "Au", "Au"],
  "fractional_positions": [[0.500, 0.929, 0.049], [0.500, 0.071, 0.951], [0.500, 0.571, 0.049], [0.500, 0.429, 0.951], [0.522, 0.250, 0.496], [0.478, 0.750, 0.504], [0.008, 0.250, 0.232], [0.992, 0.750, 0.768], [0.508, 0.250, 0.741], [0.492, 0.750, 0.259]]
}

---

(3)
{
  "formula": "Hf2PbClF",
  "functional": "PBE",
  "state": "relaxed",
  "n_ef_per_ev_atom": 1.337,
  "formation_energy_uncorrected_mev_per_atom": 521,
  "magnetic_moment_mub_per_fu": 2.9,
  "cell": [[5.627, 0.000, 0.000], [0.000, 4.549, 0.000], [0.000, 0.000, 5.627]],
  "species": ["Pb", "F", "Hf", "Hf", "Cl"],
  "fractional_positions": [[0.000, 0.000, 0.000], [0.000, 0.500, 0.000], [0.000, 0.000, 0.500], [0.500, 0.000, 0.000], [0.500, 0.500, 0.500]]
}

---

(4)
{
  "formula": "Er8Ag2Os",
  "functional": "PBE",
  "state": "relaxed",
  "n_ef_per_ev_atom": 0.807,
  "total_energy_ev_per_atom": -5.06,
  "magnetic_moment_mub_per_fu": 0.0,
  "cell": [[5.153, 0.000, 0.000], [0.000, 6.816, 0.083], [-2.577, -2.823, 8.141]],
  "species": ["Er", "Er", "Er", "Er", "Er", "Er", "Er", "Er", "Ag", "Ag", "Os"],
  "fractional_positions": [[0.409, 0.571, 0.818], [0.660, 0.966, 0.321], [0.802, 0.697, 0.604], [0.973, 0.203, 0.945], [0.198, 0.303, 0.396], [0.340, 0.034, 0.679], [0.591, 0.429, 0.182], [0.027, 0.797, 0.055], [0.817, 0.291, 0.635], [0.183, 0.709, 0.365], [0.500, 0.000, 0.000]]
}

---

(5)
{
  "formula": "Y5Er2Sc",
  "functional": "PBE",
  "state": "relaxed",
  "n_ef_per_ev_atom": 1.834,
  "e_above_lowest_polymorph_mev_per_atom": 0,
  "magnetic_moment_mub_per_fu": 0.0,
  "cell": [[6.867, -0.508, -2.039], [-3.944, 5.645, -2.041], [0.106, 0.187, 6.633]],
  "species": ["Y", "Y", "Y", "Y", "Y", "Er", "Er", "Sc"],
  "fractional_positions": [[0.237, 0.318, 0.500], [0.321, 0.740, 0.000], [0.816, 0.235, 0.000], [0.737, 0.818, 0.500], [0.321, 0.235, 0.000], [0.230, 0.816, 0.490], [0.740, 0.326, 0.510], [0.820, 0.735, 0.000]]
}

---

(6)
{
  "formula": "BaFeRu",
  "functional": "PBE",
  "state": "relaxed",
  "n_ef_per_ev_atom": 1.247,
  "e_above_lowest_polymorph_mev_per_atom": 65,
  "magnetic_moment_mub_per_fu": 2.4,
  "cell": [[6.437, 0.001, -0.004], [-0.094, 5.169, 0.001], [-1.442, -0.027, 4.062]],
  "species": ["Ru", "Ru", "Ba", "Ba", "Fe", "Fe"],
  "fractional_positions": [[0.087, 0.959, 0.144], [0.159, 0.698, 0.681], [0.505, 0.200, 0.854], [0.662, 0.703, 0.432], [0.004, 0.212, 0.603], [0.082, 0.446, 0.142]]
}